Compound: Sc3Mo
Source: the Alexandria database
Functional: PBE-GGA
Structure: optimized geometry

```
data_Sc3Mo
_symmetry_space_group_name_H-M 'P 1'
_symmetry_Int_Tables_number 1
_cell_length_a 3.0259
_cell_length_b 4.4420
_cell_length_c 6.2098
_cell_angle_alpha 90.00
_cell_angle_beta 90.00
_cell_angle_gamma 90.00
loop_
_symmetry_equiv_pos_as_xyz
'x,y,z'
loop_
_atom_site_label
_atom_site_fract_x
_atom_site_fract_y
_atom_site_fract_z
Mo1 0.0000 0.0000 0.0000
Sc1 0.5000 0.5000 0.2284
Sc2 0.5000 0.5000 0.7716
Sc3 0.0000 0.0000 0.5000
```

Values from the calculation:
theoretical density	4.59	g/cm3
energy relative to the lowest polymorph listed for this composition	123	meV per atom
magnetization	0.00	Bohr magnetons per cell
SG	Pmmm (47)
E_form	188	meV/atom
electronic total energy	-7.269	eV per atom

***

Compound: ScMo2
Source: the Alexandria database
Functional: PBE-GGA
Structure: optimized geometry

```
data_ScMo2
_symmetry_space_group_name_H-M 'P 1'
_symmetry_Int_Tables_number 1
_cell_length_a 4.5723
_cell_length_b 4.5723
_cell_length_c 2.8512
_cell_angle_alpha 90.00
_cell_angle_beta 90.00
_cell_angle_gamma 120.00
loop_
_symmetry_equiv_pos_as_xyz
'x,y,z'
loop_
_atom_site_label
_atom_site_fract_x
_atom_site_fract_y
_atom_site_fract_z
Sc1 0.0000 0.0000 0.0000
Mo1 0.6667 0.3333 0.3708
Mo2 0.3333 0.6667 0.6292
```

Values from the calculation:
theoretical density	7.62	g/cm3
magnetization	0.00	Bohr magnetons per cell
SG	P-3m1 (164)
E_form	49	meV/atom
electronic total energy	-9.283	eV per atom

***

Compound: Sc4Mo
Source: the Alexandria database
Functional: PBE-GGA
Structure: optimized geometry

```
data_Sc4Mo
_symmetry_space_group_name_H-M 'P 1'
_symmetry_Int_Tables_number 1
_cell_length_a 5.4979
_cell_length_b 5.4979
_cell_length_c 5.4979
_cell_angle_alpha 109.47
_cell_angle_beta 109.47
_cell_angle_gamma 109.47
loop_
_symmetry_equiv_pos_as_xyz
'x,y,z'
loop_
_atom_site_label
_atom_site_fract_x
_atom_site_fract_y
_atom_site_fract_z
Sc1 0.5000 0.5000 0.5000
Sc2 0.0000 0.5000 0.0000
Sc3 0.0000 0.0000 0.5000
Sc4 0.5000 0.0000 0.0000
Mo1 0.0000 0.0000 0.0000
```

Values from the calculation:
theoretical density	3.58	g/cm3
energy relative to the lowest polymorph listed for this composition	440	meV per atom
magnetization	0.00	Bohr magnetons per cell
SG	Im-3m (229)
E_form	552	meV/atom
electronic total energy	-6.680	eV per atom

***

Compound: Sc3Mo
Source: the Alexandria database
Functional: PBE-GGA
Structure: optimized geometry

```
data_Sc3Mo
_symmetry_space_group_name_H-M 'P 1'
_symmetry_Int_Tables_number 1
_cell_length_a 3.0362
_cell_length_b 3.0362
_cell_length_c 9.7701
_cell_angle_alpha 90.00
_cell_angle_beta 90.00
_cell_angle_gamma 108.13
loop_
_symmetry_equiv_pos_as_xyz
'x,y,z'
loop_
_atom_site_label
_atom_site_fract_x
_atom_site_fract_y
_atom_site_fract_z
Sc1 0.5000 0.5000 0.7844
Sc2 0.0000 0.0000 0.5000
Sc3 0.5000 0.5000 0.2156
Mo1 0.0000 0.0000 0.0000
```

Values from the calculation:
theoretical density	4.48	g/cm3
energy relative to the lowest polymorph listed for this composition	91	meV per atom
magnetization	0.00	Bohr magnetons per cell
SG	Cmmm (65)
E_form	156	meV/atom
electronic total energy	-7.301	eV per atom

***

Compound: Sc3Mo
Source: the Alexandria database
Functional: PBE-GGA
Structure: optimized geometry

```
data_Sc3Mo
_symmetry_space_group_name_H-M 'P 1'
_symmetry_Int_Tables_number 1
_cell_length_a 2.9980
_cell_length_b 5.7170
_cell_length_c 5.7170
_cell_angle_alpha 117.01
_cell_angle_beta 79.93
_cell_angle_gamma 79.93
loop_
_symmetry_equiv_pos_as_xyz
'x,y,z'
loop_
_atom_site_label
_atom_site_fract_x
_atom_site_fract_y
_atom_site_fract_z
Sc1 0.5000 0.5000 0.0000
Sc2 0.5000 0.0000 0.5000
Mo1 0.0000 0.0000 0.0000
Sc3 0.0000 0.5000 0.5000
```

Values from the calculation:
theoretical density	4.66	g/cm3
energy relative to the lowest polymorph listed for this composition	165	meV per atom
magnetization	0.00	Bohr magnetons per cell
SG	R-3m (166)
E_form	230	meV/atom
electronic total energy	-7.227	eV per atom

***

Compound: Sc3Mo5
Source: the Alexandria database
Functional: PBE-GGA
Structure: optimized geometry

```
data_Sc3Mo5
_symmetry_space_group_name_H-M 'P 1'
_symmetry_Int_Tables_number 1
_cell_length_a 7.7463
_cell_length_b 7.7464
_cell_length_c 7.9765
_cell_angle_alpha 96.68
_cell_angle_beta 96.68
_cell_angle_gamma 139.44
loop_
_symmetry_equiv_pos_as_xyz
'x,y,z'
loop_
_atom_site_label
_atom_site_fract_x
_atom_site_fract_y
_atom_site_fract_z
Mo1 0.9189 0.7394 0.6598
Mo2 0.2494 0.4530 0.7029
Mo3 0.7631 0.0742 0.8367
Sc1 0.6708 0.8288 0.5000
Sc2 0.7646 0.7350 0.0000
Mo4 0.5579 0.2116 0.7696
Sc3 0.1734 0.6977 0.8708
Sc4 0.3032 0.1964 0.5000
Mo5 0.7569 0.2512 0.4998
Mo6 0.4254 0.7365 0.1633
Mo7 0.2880 0.9417 0.2304
Mo8 0.2484 0.7427 0.5002
Sc5 0.8019 0.3262 0.1292
Mo9 0.0466 0.2501 0.2971
Sc6 0.2646 0.2350 0.0000
Mo10 0.7602 0.5807 0.3402
```

Values from the calculation:
theoretical density	6.96	g/cm3
energy relative to the lowest polymorph listed for this composition	107	meV per atom
magnetization	0.00	Bohr magnetons per cell
SG	C2 (5)
E_form	329	meV/atom
electronic total energy	-8.815	eV per atom